Computed, not measured: a relaxed PmPrHgO crystal at the PBE level of DFT.

Summary:
Spin magnetization in μB/atom: 0.001
Formation energy (no corrections) in eV per formula unit: -6.43

abc: 3.7877 3.8215 7.4085
angles: 104.93 104.81 90.00
Closest atoms and distances in Å follow each position.
Element x y z (fractional)
1 Pr 0.6694 0.1276 0.3388  2 O 2.37
2 O 0.5684 0.5266 0.1367  2 Pm 2.29, 2 Pr 2.37
3 Hg 0.3226 0.7808 0.6452  4 Pm 3.41, 4 Pr 3.42, 2 Hg 3.79
4 Pm 0.9745 0.4328 0.9490  2 O 2.29